# Cd2Ag4Au5 PBE optimized geometry
data_Cd2Ag4Au5
_chemical_formula_sum 'Cd4 Ag8 Au10'
_cell_length_a 27.593
_cell_length_b 2.850
_cell_length_c 5.675
_cell_angle_alpha 90.00
_cell_angle_beta 90.61
_cell_angle_gamma 90.00
_symmetry_space_group_name_H-M 'C 1 2/m 1'
_symmetry_Int_Tables_number 12
_symmetry_space_group_name_Hall '-C 2y'
loop_
_atom_site_label
_atom_site_type_symbol
_atom_site_fract_x
_atom_site_fract_y
_atom_site_fract_z
_atom_site_occupancy
Cd1 Cd 0.073 0.000 0.231 1
Ag1 Ag 0.076 0.000 0.743 1
Ag2 Ag 0.244 0.500 0.244 1
Au1 Au 0.000 0.500 0.500 1
Au2 Au 0.165 0.000 0.993 1
Au3 Au 0.167 0.000 0.495 1
# Relative energy among the computed polymorphs in meV/atom: 73

# Dy2ZnCu9 PBE optimized geometry
data_Dy2ZnCu9
_chemical_formula_sum 'Dy6 Zn3 Cu27'
_cell_length_a 5.0760
_cell_length_b 5.0760
_cell_length_c 24.6008
_cell_angle_alpha 90.00
_cell_angle_beta 90.00
_cell_angle_gamma 120.00
_symmetry_space_group_name_H-M 'R -3 m'
_symmetry_Int_Tables_number 166
_symmetry_space_group_name_Hall '-R 3 2"'
loop_
_atom_site_label
_atom_site_type_symbol
_atom_site_fract_x
_atom_site_fract_y
_atom_site_fract_z
_atom_site_occupancy
Dy1 Dy 0.0000 0.0000 0.1347 1
Zn1 Zn 0.0000 0.0000 0.0000 1
Cu1 Cu 0.0000 0.0000 0.3329 1
Cu2 Cu 0.0000 0.0000 0.5000 1
Cu3 Cu 0.0023 0.5011 0.9184 1
# Total energy in eV per atom: -4.017

# Al3Pt12W PBE optimized geometry
data_Al3Pt12W
_chemical_formula_sum 'Al3 Pt12 W1'
_cell_length_a 3.937
_cell_length_b 3.937
_cell_length_c 15.750
_cell_angle_alpha 90.00
_cell_angle_beta 90.00
_cell_angle_gamma 90.00
_symmetry_space_group_name_H-M 'P 4/m m m'
_symmetry_Int_Tables_number 123
_symmetry_space_group_name_Hall '-P 4 2'
loop_
_atom_site_label
_atom_site_type_symbol
_atom_site_fract_x
_atom_site_fract_y
_atom_site_fract_z
_atom_site_occupancy
Al1 Al 0.000 0.000 0.000 1
Al2 Al 0.000 0.000 0.240 1
Pt1 Pt 0.000 0.500 0.124 1
Pt2 Pt 0.000 0.500 0.377 1
Pt3 Pt 0.500 0.500 0.000 1
Pt4 Pt 0.500 0.500 0.251 1
Pt5 Pt 0.500 0.500 0.500 1
W1 W 0.000 0.000 0.500 1
# Total energy in eV per atom: -6.639

# Ba3Sr3Zn2Hg PBE optimized geometry
data_Ba3Sr3Zn2Hg
_chemical_formula_sum 'Ba3 Sr3 Zn2 Hg1'
_cell_length_a 8.7376
_cell_length_b 8.7376
_cell_length_c 5.5915
_cell_angle_alpha 90.00
_cell_angle_beta 90.00
_cell_angle_gamma 120.00
_symmetry_space_group_name_H-M 'P -6 2 m'
_symmetry_Int_Tables_number 189
_symmetry_space_group_name_Hall 'P -6 -2'
loop_
_atom_site_label
_atom_site_type_symbol
_atom_site_fract_x
_atom_site_fract_y
_atom_site_fract_z
_atom_site_occupancy
Ba1 Ba 0.0000 0.5931 0.0000 1
Sr1 Sr 0.0000 0.2591 0.5000 1
Zn1 Zn 0.3333 0.6667 0.5000 1
Hg1 Hg 0.0000 0.0000 0.0000 1
# Total energy in eV per atom: -1.682

Calculated volume
In order: 446.2, 548.9, 244.1, 369.7
Unit: Å³ per cell
Total magnetization
In order: 0.00, 0.00, 0.00, 0.00
Unit: μB per atom